Run 1
A relaxed Tb2MgCd2 crystal. Source: Alexandria via LeMat-Bulk, functional PBE.

Computed properties:
N(E_F) ... 4.79 states/eV per cell

Cell lengths 4.7355, 5.9246, 5.9246 Å; angles 65.08, 66.44, 66.44 degrees
Sites, in units of the cell vectors:
Cd 0.5000 0.2731 0.7269
Mg 0.0000 0.0000 0.0000
Cd 0.5000 0.7269 0.2731
Tb 0.1988 0.3012 0.3012
Tb 0.8012 0.6988 0.6988

Run 2
A relaxed Tb2MgCd2 crystal. Source: Alexandria via LeMat-Bulk, functional PBE.

Computed properties:
N(E_F) ... 8.50 states/eV per cell

Cell lengths 5.2035, 6.2356, 9.6368 Å; angles 65.04, 74.34, 65.34 degrees
Sites, in units of the cell vectors:
Cd 0.6347 0.7751 0.4550
Tb 0.0806 0.6986 0.6397
Tb 0.9194 0.3014 0.3603
Cd 0.1353 0.2751 0.9550
Mg 0.2500 0.7500 0.2500
Tb 0.5811 0.1986 0.1397
Mg 0.7500 0.2500 0.7500
Cd 0.3653 0.2249 0.5450
Tb 0.4189 0.8014 0.8603
Cd 0.8647 0.7249 0.0450

Q: Which of them is the most stable? A: run 2.

Run 1
A relaxed Tb2Mg3Cd2 crystal. Source: Alexandria via LeMat-Bulk, functional PBE.

Computed properties:
N(E_F) ... 4.39 states/eV per cell

Cell lengths 5.1515, 5.1608, 8.1078 Å; angles 108.56, 90.00, 119.94 degrees
Sites, in units of the cell vectors:
Tb 0.0797 0.1595 0.7366
Tb 0.9203 0.8405 0.2634
Cd 0.7859 0.5719 0.8536
Mg 0.6523 0.3045 0.4575
Mg 0.3477 0.6955 0.5425
Cd 0.2141 0.4281 0.1464
Mg 0.5000 0.0000 0.0000

Run 2
A relaxed Tb2Mg3Cd2 crystal. Source: Alexandria via LeMat-Bulk, functional PBE.

Computed properties:
N(E_F) ... 5.36 states/eV per cell

Cell lengths 3.3257, 4.8905, 11.1657 Å; angles 102.65, 90.00, 90.00 degrees
Sites, in units of the cell vectors:
Tb 0.0000 0.1551 0.3102
Mg 0.5000 0.4287 0.8575
Mg 0.5000 0.5713 0.1425
Cd 0.5000 0.2878 0.5756
Tb 0.0000 0.8449 0.6898
Cd 0.5000 0.7122 0.4244
Mg 0.0000 0.0000 0.0000

Q: Which of them is the most stable? A: run 1.

Run 1
A relaxed MgCd2Te crystal. Source: Alexandria via LeMat-Bulk, functional PBE.

Computed properties:
N(E_F) ... 1.00 states/eV per cell

Cell lengths 4.1257, 7.0092, 4.1255 Å; angles 72.69, 90.65, 107.32 degrees
Sites, in units of the cell vectors:
Te 0.5000 0.5000 0.0000
Cd 0.0000 0.0000 0.0000
Cd 0.5000 0.0000 0.5000
Mg 0.0000 0.5000 0.5000

Run 2
A relaxed MgCd2Te crystal. Source: Alexandria via LeMat-Bulk, functional PBE.

Computed properties:
N(E_F) ... 1.26 states/eV per cell

Cell lengths 3.3777, 3.3777, 8.8417 Å; angles 90.00, 90.00, 89.96 degrees
Sites, in units of the cell vectors:
Mg 0.0000 0.0000 0.4891
Cd 0.0000 0.0000 0.0327
Cd 0.5000 0.5000 0.2635
Te 0.5000 0.5000 0.7147

Run 3
A relaxed MgCd2Te crystal. Source: Alexandria via LeMat-Bulk, functional PBE.

Computed properties:
N(E_F) ... 1.41 states/eV per cell

Cell lengths 5.2986, 5.2986, 5.2986 Å; angles 60.00, 60.00, 60.00 degrees
Sites, in units of the cell vectors:
Te 0.5000 0.5000 0.5000
Cd 0.2500 0.2500 0.2500
Cd 0.7500 0.7500 0.7500
Mg 0.0000 0.0000 0.0000

Q: Which of them is the most stable? A: run 1.